# Mn2S3 (PBE, relaxed)
# DFT total energy = -6.672 eV per atom
# space-group type = R-3c (167)
# uncorrected formation energy = -0.53 eV per atom
data_Mn2S3
_chemical_formula_sum 'Mn4 S6'
_cell_length_a 6.308
_cell_length_b 6.308
_cell_length_c 6.308
_cell_angle_alpha 55.46
_cell_angle_beta 55.46
_cell_angle_gamma 55.46
_space_group_name_H-M_alt 'P 1'
_space_group_IT_number 1
loop_
_space_group_symop_operation_xyz
'x,y,z'
loop_
_atom_site_label
_atom_site_type_symbol
_atom_site_fract_x
_atom_site_fract_y
_atom_site_fract_z
_atom_site_occupancy
Mn1 Mn 0.160 0.160 0.160 1
Mn2 Mn 0.340 0.340 0.340 1
Mn3 Mn 0.660 0.660 0.660 1
Mn4 Mn 0.840 0.840 0.840 1
S1 S 0.070 0.750 0.430 1
S2 S 0.250 0.570 0.930 1
S3 S 0.430 0.070 0.750 1
S4 S 0.570 0.930 0.250 1
S5 S 0.750 0.430 0.070 1
S6 S 0.930 0.250 0.570 1

=====

# LiY2PtO5 (PBE, relaxed)
# DFT total energy = -7.297 eV per atom
# space-group type = P4/mbm (127)
# uncorrected formation energy = -2.22 eV per atom
data_LiY2PtO5
_chemical_formula_sum 'Li2 Y4 Pt2 O10'
_cell_length_a 6.536
_cell_length_b 6.536
_cell_length_c 5.805
_cell_angle_alpha 90.00
_cell_angle_beta 90.00
_cell_angle_gamma 90.00
_space_group_name_H-M_alt 'P 1'
_space_group_IT_number 1
loop_
_space_group_symop_operation_xyz
'x,y,z'
loop_
_atom_site_label
_atom_site_type_symbol
_atom_site_fract_x
_atom_site_fract_y
_atom_site_fract_z
_atom_site_occupancy
Li1 Li 0.000 0.000 0.000 1
Li2 Li 0.500 0.500 0.000 1
Y1 Y 0.176 0.324 0.500 1
Y2 Y 0.324 0.824 0.500 1
Y3 Y 0.676 0.176 0.500 1
Y4 Y 0.824 0.676 0.500 1
Pt1 Pt 0.000 0.500 0.000 1
Pt2 Pt 0.500 0.000 0.000 1
O1 O 0.000 0.000 0.500 1
O2 O 0.138 0.638 0.259 1
O3 O 0.138 0.638 0.741 1
O4 O 0.362 0.138 0.259 1
O5 O 0.362 0.138 0.741 1
O6 O 0.500 0.500 0.500 1
O7 O 0.638 0.862 0.259 1
O8 O 0.638 0.862 0.741 1
O9 O 0.862 0.362 0.259 1
O10 O 0.862 0.362 0.741 1

=====

# Y2ErZrSc4 (PBE, relaxed)
# E_form = 0.061 eV/atom
# DFT total energy = -6.360 eV per atom
# space-group type = Pmmm (47)
data_Y2ErZrSc4
_chemical_formula_sum 'Y2 Er1 Zr1 Sc4'
_cell_length_a 4.777
_cell_length_b 4.798
_cell_length_c 9.300
_cell_angle_alpha 90.00
_cell_angle_beta 90.00
_cell_angle_gamma 90.00
_space_group_name_H-M_alt 'P 1'
_space_group_IT_number 1
loop_
_space_group_symop_operation_xyz
'x,y,z'
loop_
_atom_site_label
_atom_site_type_symbol
_atom_site_fract_x
_atom_site_fract_y
_atom_site_fract_z
_atom_site_occupancy
Y1 Y 0.000 0.000 0.000 1
Y2 Y 0.500 0.500 0.500 1
Er1 Er 0.000 0.000 0.500 1
Zr1 Zr 0.500 0.500 0.000 1
Sc1 Sc 0.000 0.500 0.239 1
Sc2 Sc 0.000 0.500 0.761 1
Sc3 Sc 0.500 0.000 0.239 1
Sc4 Sc 0.500 0.000 0.761 1

=====

# NaReRu2Au (PBE, relaxed)
# E_form = 2.573 eV/atom
# DFT total energy = -4.547 eV per atom
# space-group type = P4/mmm (123)
data_NaReRu2Au
_chemical_formula_sum 'Na1 Re1 Ru2 Au1'
_cell_length_a 4.421
_cell_length_b 4.421
_cell_length_c 4.536
_cell_angle_alpha 90.00
_cell_angle_beta 90.00
_cell_angle_gamma 90.00
_space_group_name_H-M_alt 'P 1'
_space_group_IT_number 1
loop_
_space_group_symop_operation_xyz
'x,y,z'
loop_
_atom_site_label
_atom_site_type_symbol
_atom_site_fract_x
_atom_site_fract_y
_atom_site_fract_z
_atom_site_occupancy
Na1 Na 0.000 0.000 0.000 1
Re1 Re 0.000 0.000 0.500 1
Ru1 Ru 0.000 0.500 0.000 1
Ru2 Ru 0.500 0.000 0.000 1
Au1 Au 0.500 0.500 0.500 1